# 1
# Zn2SeS

A relaxed structure of Zn2SeS (GGA-PBEsol, Alexandria via LeMat-Bulk).

## Properties
Fermi-level density of states = 0.00 states/eV per cell
Excess energy over the best structure of this formula in the dataset = 4.6 meV/atom
Spin magnetization = 0.00 μB/f.u.
Final energy = -14.32 eV/f.u.

Cell lengths 3.8852, 3.8852, 5.4954 Å; angles 90.00, 90.00, 90.00 degrees
Closest atoms and distances in Å follow each position.
Element x y z (fractional)
Zn1 0.0000 0.5000 0.2363  2 S 2.34, 2 Se 2.42
Zn2 0.5000 0.0000 0.7637  2 S 2.34, 2 Se 2.42
Se1 0.0000 0.0000 0.5000  4 Zn 2.42
S1 0.5000 0.5000 0.0000  4 Zn 2.34


# 2
# ZnSeS3

A relaxed structure of ZnSeS3 (GGA-PBEsol, Alexandria via LeMat-Bulk).

## Properties
Fermi-level density of states = 3.74 states/eV per cell
Spin magnetization = 0.00 μB/f.u.
Final energy = -15.33 eV/f.u.

Cell lengths 4.5457, 4.5457, 4.5457 Å; angles 90.00, 90.00, 90.00 degrees
Closest atoms and distances in Å follow each position.
Element x y z (fractional)
Zn1 0.0000 0.0000 0.0000  6 S 2.27
Se1 0.5000 0.5000 0.5000  12 S 3.21
S1 0.0000 0.0000 0.5000  2 Zn 2.27
S2 0.0000 0.5000 0.0000  2 Zn 2.27
S3 0.5000 0.0000 0.0000  2 Zn 2.27


These records have formation energy without anion corrections values of -0.7304 0.6503 eV per atom, in the order they appear.